# Mo2PdAu (PBE, optimized geometry)
# ΔE_f: 0.71 eV per atom
# DFT total energy: -6.825 eV per atom
# Relative energy among the computed polymorphs: 62 kJ/mol of formula units
data_Mo2PdAu
_chemical_formula_sum 'Mo4 Pd2 Au2'
_symmetry_space_group_name_H-M 'P 1'
_symmetry_Int_Tables_number 1
_symmetry_space_group_name_Hall 'P 1'
_cell_length_a 7.291
_cell_length_b 7.291
_cell_length_c 5.788
_cell_angle_alpha 50.96
_cell_angle_beta 50.96
_cell_angle_gamma 90.00
loop_
_atom_site_label
_atom_site_type_symbol
_atom_site_fract_x
_atom_site_fract_y
_atom_site_fract_z
Mo1 Mo 0.612 0.125 0.250
Mo2 Mo 0.138 0.625 0.250
Mo3 Mo 0.375 0.388 0.750
Mo4 Mo 0.875 0.862 0.750
Au1 Au 0.000 0.000 0.000
Au2 Au 0.750 0.250 0.500
Pd1 Pd 0.500 0.500 0.000
Pd2 Pd 0.250 0.750 0.500